! LiCeRhPb, optimized geometry, DFT PBE; values from VASP
! crystal system: cubic
! formation enthalpy at 0 K: -485 meV/atom
! electronic total energy: -5.212 eV/atom
! density of states at the Fermi level: 3.7 states/eV per cell
&SYSTEM
  ibrav = 0, nat = 4, ntyp = 4
/
ATOMIC_SPECIES
Li 6.94 Li.upf
Ce 140.12 Ce.upf
Rh 102.91 Rh.upf
Pb 207.20 Pb.upf
ATOMIC_POSITIONS angstrom
Li 0.000 0.000 0.000
Ce 5.134 5.134 5.134
Rh 3.422 3.422 3.422
Pb 1.711 1.711 1.711
CELL_PARAMETERS angstrom
0.000 3.422 3.422
3.422 0.000 3.422
3.422 3.422 0.000